Arrangement w

This record from Alexandria describes crystalline Pm2SmAg at its relaxed geometry. The functional is PBE-GGA.

a b c (Å): 5.497 5.497 5.497
angles (deg): 60.00 60.00 60.00
Fractional positions:
Pm: 0.250 0.250 0.250
Pm: 0.750 0.750 0.750
Sm: 0.000 0.000 0.000
Ag: 0.500 0.500 0.500

Values from the calculation:
The value obtained for the theoretical density is 7.75 Mg/m³. Its space group is Fm-3m. Its total moment is 0.00 μB per atom.

Arrangement x

This record from Alexandria describes crystalline Pm2SmAg at its relaxed geometry. The functional is PBE-GGA.

a b c (Å): 3.644 3.644 10.916
angles (deg): 80.39 80.39 60.00
Fractional positions:
Ag: 0.000 0.000 0.000
Pm: 0.741 0.741 0.776
Pm: 0.259 0.259 0.224
Sm: 0.500 0.500 0.500

Values from the calculation:
The value obtained for the theoretical density is 7.39 Mg/m³. Its space group is R-3m. Its total moment is 0.00 μB per atom.

Which one is most stable, and which one is least stable? arrangement x is the most stable of them, while arrangement w is the least stable.

Arrangement w

This record from Alexandria describes crystalline Pm2SmAg at its relaxed geometry. The functional is PBE-GGA.

a b c (Å): 3.758 6.555 10.195
angles (deg): 90.00 90.00 106.67
Fractional positions:
Ag: 0.742 0.482 0.250
Ag: 0.258 0.518 0.750
Sm: 0.444 0.889 0.250
Sm: 0.556 0.111 0.750
Pm: 0.866 0.735 0.954
Pm: 0.866 0.735 0.546
Pm: 0.134 0.265 0.454
Pm: 0.134 0.265 0.046

Values from the calculation:
The value obtained for the theoretical density is 7.57 Mg/m³. Its space group is P2_1/m. Its total moment is 0.00 μB per atom.

Arrangement x

This record from Alexandria describes crystalline Pm2SmAg at its relaxed geometry. The functional is PBE-GGA.

a b c (Å): 3.704 5.621 5.621
angles (deg): 90.00 90.00 90.00
Fractional positions:
Ag: 0.500 0.000 0.000
Pm: 0.000 0.000 0.500
Pm: 0.000 0.500 0.000
Sm: 0.500 0.500 0.500

Values from the calculation:
The value obtained for the theoretical density is 7.78 Mg/m³. Its space group is P4/mmm. Its total moment is 0.00 μB per atom.

Which one is most stable, and which one is least stable? arrangement w is the most stable of them, while arrangement x is the least stable.